(1)
Here is an optimized crystal structure of CdInCl3 from Alexandria. Energies are from GGA-PBEsol.

a b c (Å): 5.1219 5.1219 5.1219
angles (deg): 90.00 90.00 90.00
Closest atoms and distances in Å follow each position.
Fractional coordinates of all 5 atoms:
Cd (0.0000, 0.0000, 0.0000)  6 Cl 2.56
In (0.5000, 0.5000, 0.5000)  12 Cl 3.62
Cl (0.0000, 0.5000, 0.0000)  2 Cd 2.56
Cl (0.0000, 0.0000, 0.5000)  2 Cd 2.56
Cl (0.5000, 0.0000, 0.0000)  2 Cd 2.56

Properties
VASP energy   -2.916 eV/atom


(2)
Here is an optimized crystal structure of CdInCl2 from Alexandria. Energies are from GGA-PBEsol.

a b c (Å): 4.1338 4.1338 6.4809
angles (deg): 108.60 108.60 90.00
Closest atoms and distances in Å follow each position.
Fractional coordinates of all 4 atoms:
Cl (0.0000, 0.0000, 0.0000)  4 In 2.92
Cl (0.7500, 0.2500, 0.5000)  4 Cd 2.92
Cd (0.2500, 0.7500, 0.5000)  4 Cl 2.92
In (0.5000, 0.5000, 0.0000)  4 Cl 2.92

Properties
VASP energy   -2.511 eV/atom


(3)
Here is an optimized crystal structure of CdIn2Cl from Alexandria. Energies are from GGA-PBEsol.

a b c (Å): 3.3037 5.1203 5.7941
angles (deg): 90.00 90.00 90.00
Closest atoms and distances in Å follow each position.
Fractional coordinates of all 4 atoms:
Cl (0.1256, 0.8751, 0.5000)  6 In 2.90-3.05
Cd (0.6260, 0.3751, 0.0000)  6 In 2.90-3.05
In (0.1265, 0.8750, 0.0000)  2 Cl 2.90, 4 Cd 3.05
In (0.6220, 0.3748, 0.5000)  2 Cd 2.90, 4 Cl 3.04-3.05

Properties
VASP energy   -2.602 eV/atom


(4)
Here is an optimized crystal structure of LiCdIn2Cl from Alexandria. Energies are from GGA-PBEsol.

a b c (Å): 5.1768 5.3965 5.3965
angles (deg): 90.00 90.00 90.00
Closest atoms and distances in Å follow each position.
Fractional coordinates of all 5 atoms:
Cl (0.5000, 0.5000, 0.5000)  8 In 3.74, 4 Li 3.82
Cd (0.0000, 0.0000, 0.0000)  2 Li 2.59, 4 In 2.70
Li (0.5000, 0.0000, 0.0000)  2 Cd 2.59
In (0.0000, 0.0000, 0.5000)  2 Cd 2.70
In (0.0000, 0.5000, 0.0000)  2 Cd 2.70

Properties
VASP energy   -2.217 eV/atom


(5)
Here is an optimized crystal structure of CdIr2Cl from Alexandria. Energies are from GGA-PBEsol.

a b c (Å): 4.4750 4.4750 4.4750
angles (deg): 60.00 60.00 60.00
Closest atoms and distances in Å follow each position.
Fractional coordinates of all 4 atoms:
Cl (0.5000, 0.5000, 0.5000)  8 Ir 2.74
Ir (0.2500, 0.2500, 0.2500)  4 Cd 2.74, 4 Cl 2.74
Ir (0.7500, 0.7500, 0.7500)  4 Cd 2.74, 4 Cl 2.74
Cd (0.0000, 0.0000, 0.0000)  8 Ir 2.74

Properties
VASP energy   -4.652 eV/atom


(6)
Here is an optimized crystal structure of CdIrCl2 from Alexandria. Energies are from GGA-PBEsol.

a b c (Å): 3.1874 3.1874 9.2472
angles (deg): 90.00 90.00 119.18
Closest atoms and distances in Å follow each position.
Fractional coordinates of all 4 atoms:
Cl (0.0000, 0.0000, 0.3176)  2 Ir 2.33
Cl (0.0000, 0.0000, 0.6824)  2 Ir 2.33
Ir (0.5000, 0.5000, 0.5000)  4 Cl 2.33
Cd (0.5000, 0.5000, 0.0000)  6 Cd 3.19-3.23, 4 Cl 3.35

Properties
VASP energy   -3.590 eV/atom


Record order is preserved below.
Volume: 134; 99; 98; 151; 63; 82 Å³/cell
Record order is preserved below.
Ρ: 4.12; 5.01; 6.40; 4.23; 13.95; 7.60 Mg/m³